This record from Alexandria describes an optimized crystal structure of TlFeCu2. The functional is PBE.

```
data_TlFeCu2
_cell_length_a 8.605
_cell_length_b 2.932
_cell_length_c 4.997
_cell_angle_alpha 90.00
_cell_angle_beta 100.99
_cell_angle_gamma 90.00
_space_group_name_H-M_alt 'C 1 m 1'
_space_group_IT_number 8
loop_
_space_group_symop_operation_xyz
'x,y,z'
'x,-y,z'
'x+1/2,y+1/2,z'
'x+1/2,-y+1/2,z'
loop_
_atom_site_label
_atom_site_type_symbol
_atom_site_fract_x
_atom_site_fract_y
_atom_site_fract_z
Tl1 Tl 0.000 0.000 0.000
Fe1 Fe 0.259 0.500 0.294
Cu1 Cu 0.001 0.500 0.501
Cu2 Cu 0.242 0.000 0.712
```

Computed properties:
**Formation energy from the elements**: 0.439 eV/atom
**N(E_F)**: 0.762 states/eV/atom
**Crystal system**: monoclinic

This record from Alexandria describes an optimized crystal structure of Hf2TlSn2. The functional is PBE.

```
data_Hf2TlSn2
_cell_length_a 8.867
_cell_length_b 8.867
_cell_length_c 3.162
_cell_angle_alpha 90.00
_cell_angle_beta 90.00
_cell_angle_gamma 90.00
_space_group_name_H-M_alt 'P 4/m b m'
_space_group_IT_number 127
_space_group_name_Hall '-P 4 2ab'
loop_
_atom_site_label
_atom_site_type_symbol
_atom_site_fract_x
_atom_site_fract_y
_atom_site_fract_z
Hf1 Hf 0.128 0.372 0.000
Tl1 Tl 0.000 0.000 0.500
Sn1 Sn 0.165 0.665 0.500
```

Computed properties:
**Formation energy from the elements**: -0.022 eV/atom
**N(E_F)**: 0.737 states/eV/atom
**Crystal system**: tetragonal

This record from Alexandria describes an optimized crystal structure of CuSnN. The functional is PBE.

```
data_CuSnN
_cell_length_a 3.365
_cell_length_b 11.900
_cell_length_c 4.638
_cell_angle_alpha 90.00
_cell_angle_beta 95.71
_cell_angle_gamma 90.00
_space_group_name_H-M_alt 'C 1 c 1'
_space_group_IT_number 9
loop_
_space_group_symop_operation_xyz
'x,y,z'
'x,-y,z+1/2'
'x+1/2,y+1/2,z'
'x+1/2,-y+1/2,z+1/2'
loop_
_atom_site_label
_atom_site_type_symbol
_atom_site_fract_x
_atom_site_fract_y
_atom_site_fract_z
Cu1 Cu 0.000 0.052 0.000
Sn1 Sn 0.289 0.156 0.482
N1 N 0.319 0.316 0.264
```

Computed properties:
**E_tot**: -62.6 eV for the cell shown
**N(E_F)**: 0.022 states/eV/atom
**Crystal system**: monoclinic

This record from Alexandria describes an optimized crystal structure of Tl3OsS. The functional is PBE.

```
data_Tl3OsS
_cell_length_a 5.272
_cell_length_b 5.272
_cell_length_c 5.272
_cell_angle_alpha 90.00
_cell_angle_beta 90.00
_cell_angle_gamma 90.00
_space_group_name_H-M_alt 'P m -3 m'
_space_group_IT_number 221
_space_group_name_Hall '-P 4 2 3'
loop_
_atom_site_label
_atom_site_type_symbol
_atom_site_fract_x
_atom_site_fract_y
_atom_site_fract_z
Tl1 Tl 0.000 0.000 0.500
Os1 Os 0.000 0.000 0.000
S1 S 0.500 0.500 0.500
```

Computed properties:
**E_tot**: -19.5 eV for the cell shown
**N(E_F)**: 0.908 states/eV/atom
**Crystal system**: cubic

Number 1: total magnetic moment 2.695 μB/f.u.. Number 2: total magnetic moment 0.000 μB/f.u.. Number 3: total magnetic moment 0.000 μB/f.u.. Number 4: total magnetic moment 0.004 μB/f.u..